# 1
DFT (meta-GGA SCAN) results for a PBEsol-optimized structure of Si19Te8.

The uncorrected formation energy comes out at 51 meV per atom.

abc: 10.4428 10.4428 10.4428
angles: 89.67 89.67 89.67
Sites, in units of the cell vectors:
Si1 0.0000 0.0000 0.0000
Si2 0.0260 0.6819 0.6915
Si3 0.0368 0.2430 0.3765
Si4 0.0389 0.4684 0.3541
Si5 0.0988 0.3534 0.8641
Si6 0.1819 0.5260 0.1915
Si7 0.1894 0.8246 0.7404
Si8 0.1915 0.1819 0.5260
Si9 0.2077 0.9321 0.9389
Si10 0.2404 0.3246 0.6894
Si11 0.2430 0.3765 0.0368
Si12 0.3246 0.6894 0.2404
Si13 0.3534 0.8641 0.0988
Si14 0.3541 0.0389 0.4684
Si15 0.3641 0.8534 0.5988
Si16 0.3765 0.0368 0.2430
Si17 0.4321 0.7077 0.4389
Si18 0.4389 0.4321 0.7077
Si19 0.4684 0.3541 0.0389
Si20 0.5000 0.5000 0.5000
Si21 0.5260 0.1915 0.1819
Si22 0.5368 0.8765 0.7430
Si23 0.5389 0.8541 0.9684
Si24 0.5988 0.3641 0.8534
Si25 0.6819 0.6915 0.0260
Si26 0.6894 0.2404 0.3246
Si27 0.6915 0.0260 0.6819
Si28 0.7077 0.4389 0.4321
Si29 0.7404 0.1894 0.8246
Si30 0.7430 0.5368 0.8765
Si31 0.8246 0.7404 0.1894
Si32 0.8534 0.5988 0.3641
Si33 0.8541 0.9684 0.5389
Si34 0.8641 0.0988 0.3534
Si35 0.8765 0.7430 0.5368
Si36 0.9321 0.9389 0.2077
Si37 0.9389 0.2077 0.9321
Si38 0.9684 0.5389 0.8541
Te1 0.0406 0.6766 0.0478
Te2 0.0478 0.0406 0.6766
Te3 0.1123 0.8472 0.3548
Te4 0.1683 0.1683 0.1683
Te5 0.1766 0.5406 0.5478
Te6 0.3472 0.6123 0.8548
Te7 0.3548 0.1123 0.8472
Te8 0.3557 0.3557 0.3557
Te9 0.5406 0.5478 0.1766
Te10 0.5478 0.1766 0.5406
Te11 0.6123 0.8548 0.3472
Te12 0.6683 0.6683 0.6683
Te13 0.6766 0.0478 0.0406
Te14 0.8472 0.3548 0.1123
Te15 0.8548 0.3472 0.6123
Te16 0.8557 0.8557 0.8557

=====

# 2
DFT (meta-GGA SCAN) results for a PBEsol-optimized structure of CuGeNO2.

The uncorrected formation energy comes out at 441 meV per atom.

abc: 3.8287 3.8287 3.6520
angles: 90.00 90.00 90.00
Sites, in units of the cell vectors:
Cu1 0.0000 0.0000 0.0000
Ge1 0.5000 0.5000 0.5000
N1 0.0000 0.0000 0.5000
O1 0.0000 0.5000 0.0000
O2 0.5000 0.0000 0.0000

=====

# 3
DFT (meta-GGA SCAN) results for a PBEsol-optimized structure of Li3TcF.

The uncorrected formation energy comes out at 564 meV per atom.

abc: 5.0746 5.0746 5.0746
angles: 90.00 90.00 90.00
Sites, in units of the cell vectors:
Li1 0.0000 0.0000 0.5000
Li2 0.0000 0.5000 0.0000
Li3 0.5000 0.0000 0.0000
Tc1 0.0000 0.0000 0.0000
F1 0.5000 0.5000 0.5000

=====

# 4
DFT (meta-GGA SCAN) results for a PBEsol-optimized structure of Ca2MgMoO6.

The uncorrected formation energy comes out at -2810 meV per atom.

abc: 5.4837 5.4837 5.4837
angles: 60.00 60.00 60.00
Sites, in units of the cell vectors:
Ca1 0.2500 0.2500 0.2500
Ca2 0.7500 0.7500 0.7500
Mg1 0.0000 0.0000 0.0000
Mo1 0.5000 0.5000 0.5000
O1 0.2560 0.2560 0.7440
O2 0.2560 0.7440 0.2560
O3 0.2560 0.7440 0.7440
O4 0.7440 0.2560 0.2560
O5 0.7440 0.2560 0.7440
O6 0.7440 0.7440 0.2560

=====

# 5
DFT (meta-GGA SCAN) results for a PBEsol-optimized structure of CuHg2As.

Its energy relative to the elements is 0.167 eV/atom.

abc: 2.9414 2.9414 8.9727
angles: 90.00 90.00 90.00
Sites, in units of the cell vectors:
Cu1 0.0000 0.0000 0.0000
Hg1 0.0000 0.0000 0.5263
Hg2 0.5000 0.5000 0.2237
As1 0.5000 0.5000 0.8365

=====

# 6
DFT (meta-GGA SCAN) results for a PBEsol-optimized structure of BAsAuSe2.

The uncorrected formation energy comes out at 1521 meV per atom.

abc: 5.1120 5.1120 4.7784
angles: 90.00 90.00 90.00
Sites, in units of the cell vectors:
B1 0.0000 0.0000 0.0000
As1 0.5000 0.5000 0.0000
Au1 0.5000 0.5000 0.5000
Se1 0.0000 0.5000 0.5000
Se2 0.5000 0.0000 0.5000

=====

# 7
DFT (meta-GGA SCAN) results for a PBEsol-optimized structure of FeSn2PtCl.

The uncorrected formation energy comes out at 571 meV per atom.

abc: 5.1580 5.1580 4.8096
angles: 90.00 90.00 90.00
Sites, in units of the cell vectors:
Fe1 0.0000 0.0000 0.0000
Sn1 0.0000 0.5000 0.5000
Sn2 0.5000 0.0000 0.5000
Pt1 0.5000 0.5000 0.5000
Cl1 0.5000 0.5000 0.0000

=====

# 8
DFT (meta-GGA SCAN) results for a PBEsol-optimized structure of La2CuBiS5.

The uncorrected formation energy comes out at -1544 meV per atom.

abc: 11.8780 3.9543 16.8098
angles: 90.00 90.00 90.00
Sites, in units of the cell vectors:
La1 0.0335 0.2500 0.1732
La2 0.1278 0.7500 0.5977
La3 0.3722 0.2500 0.0977
La4 0.4665 0.7500 0.6732
La5 0.5335 0.2500 0.3268
La6 0.6278 0.7500 0.9023
La7 0.8722 0.2500 0.4023
La8 0.9665 0.7500 0.8268
Cu1 0.0875 0.7500 0.9982
Cu2 0.4125 0.2500 0.4982
Cu3 0.5875 0.7500 0.5018
Cu4 0.9125 0.2500 0.0018
Bi1 0.1978 0.7500 0.3633
Bi2 0.3021 0.2500 0.8633
Bi3 0.6978 0.7500 0.1367
Bi4 0.8022 0.2500 0.6367
S1 0.0140 0.2500 0.7021
S2 0.0862 0.2500 0.9261
S3 0.1045 0.2500 0.4692
S4 0.1909 0.7500 0.1107
S5 0.2368 0.7500 0.7638
S6 0.2632 0.2500 0.2638
S7 0.3091 0.2500 0.6107
S8 0.3955 0.7500 0.9692
S9 0.4138 0.7500 0.4261
S10 0.4860 0.7500 0.2021
S11 0.5140 0.2500 0.7979
S12 0.5862 0.2500 0.5739
S13 0.6045 0.2500 0.0308
S14 0.6909 0.7500 0.3893
S15 0.7368 0.7500 0.7362
S16 0.7632 0.2500 0.2362
S17 0.8091 0.2500 0.8893
S18 0.8955 0.7500 0.5308
S19 0.9138 0.7500 0.0739
S20 0.9860 0.7500 0.2979